Here is a geometry-optimized EuGdGaAu structure from the Alexandria database. Energies are from PBE-GGA.

Unit cell a=7.3896 b=7.3896 c=7.3896 alpha=90.00 beta=90.00 gamma=90.00
With the nearest neighbours (Å) after each atom.
Space group F-43m (No. 216)
Unique sites:
1 Eu 0.0000 0.0000 0.0000 [4 per cell]  4 Au 3.20, 4 Ga 3.20
2 Gd 0.0000 0.0000 0.5000 [4 per cell]  4 Ga 3.20, 4 Au 3.20
3 Ga 0.2500 0.2500 0.7500 [4 per cell]  4 Eu 3.20, 4 Gd 3.20
4 Au 0.2500 0.2500 0.2500 [4 per cell]  4 Gd 3.20, 4 Eu 3.20

volume = 403.5 Å³/cell
raw total energy = -8.30 eV/atom
total magnetization = 0.07 μB per atom
energy of formation from the pure elements = -2.52 eV per formula unit